# MnBSe2

A relaxed structure of MnBSe2 (PBE, Alexandria via LeMat-Bulk).

The structure belongs to space group I-42d (No. 122); the cell edges are 5.225, 5.225 and 9.541 Å and the angles 90.00°, 90.00° and 90.00°. The asymmetric unit holds Mn at (0.000, 0.000, 0.000), B at (0.000, 0.000, 0.500) and Se at (0.213, 0.250, 0.625).

The value obtained for the total magnetization is 2.76 Bohr magnetons per cell. As for the calculated volume: 65.12 Å³/f.u. Its density of states at the Fermi level is 27.627 states/eV per cell. As for the energy relative to the elements, uncorrected: 6.88 kcal/mol of atoms.